Record 1
Density functional theory data (PBE) for Tl2MoAs after structural relaxation.

Computed properties:
Energy of formation ... 739 meV/atom
M_tot ... 0.00 μB per formula unit

Cell lengths 3.060, 3.060, 9.666 Å; angles 90.00, 90.00, 107.43 degrees
Element x y z (fractional)
Tl  0.000  0.000  0.511
Tl  0.000  0.000  0.989
Mo  0.500  0.500  0.750
As  0.500  0.500  0.250



Record 2
Density functional theory data (PBE) for TlSi2TeAu after structural relaxation.

Computed properties:
M_tot ... 0.00 μB per formula unit
Formation energy (no corrections) ... 931.6 meV per atom

Cell lengths 5.252, 5.383, 5.252 Å; angles 90.00, 90.00, 90.00 degrees
Element x y z (fractional)
Si  0.000  0.000  0.500
Si  0.500  0.000  0.000
Au  0.000  0.500  0.000
Tl  0.500  0.500  0.500
Te  0.000  0.000  0.000



Record 3
Density functional theory data (PBE) for Dy6HoPu after structural relaxation.

Computed properties:
Energy of formation ... 224 meV/atom
M_tot ... 6.44 μB per formula unit

Cell lengths 6.821, 6.415, 6.877 Å; angles 102.05, 58.50, 93.39 degrees
Last column: magnetic moment on the atom in μB.
Element x y z (fractional)
Dy  0.561  0.751  0.003  0.03
Dy  0.910  0.257  0.512  0.04
Dy  0.090  0.743  0.488  0.04
Dy  0.435  0.227  0.469  0.04
Dy  0.439  0.249  0.997  0.03
Dy  0.565  0.773  0.531  0.04
Ho  0.000  0.500  0.000  0.13
Pu  0.000  0.000  0.000  5.64



Q: Which of these has the highest M_tot?
A: Dy6HoPu



Repeat the first record exactly.
Density functional theory data (PBE) for Tl2MoAs after structural relaxation.

Computed properties:
Energy of formation ... 739 meV/atom
M_tot ... 0.00 μB per formula unit

Cell lengths 3.060, 3.060, 9.666 Å; angles 90.00, 90.00, 107.43 degrees
Element x y z (fractional)
Tl  0.000  0.000  0.511
Tl  0.000  0.000  0.989
Mo  0.500  0.500  0.750
As  0.500  0.500  0.250